#A
The following is a GGA-PBE calculation of a relaxed structure of Nb3TlCl, from the Alexandria database.

Lattice parameters (Å, degrees): 5.215 5.215 5.215 90.00 90.00 90.00
Space group Pm-3m (No. 221)
Inequivalent atoms, fractional coordinates:
Nb: 0.000 0.000 0.500
Tl: 0.000 0.000 0.000
Cl: 0.500 0.500 0.500

#B
The following is a GGA-PBE calculation of a relaxed structure of Nb3TlCl, from the Alexandria database.

Lattice parameters (Å, degrees): 4.615 4.615 4.615 90.00 90.00 90.00
Space group Pm-3m (No. 221)
Inequivalent atoms, fractional coordinates:
Nb: 0.000 0.000 0.500
Tl: 0.500 0.500 0.500
Cl: 0.000 0.000 0.000

In terms of stability, #B leads; the second structure lies 1604 meV/atom higher.

#A
The following is a GGA-PBE calculation of a relaxed structure of NbTlCl3, from the Alexandria database.

Lattice parameters (Å, degrees): 9.120 3.426 9.319 90.00 108.35 90.00
Space group P2_1/m (No. 11)
Inequivalent atoms, fractional coordinates:
Nb: 0.086 0.250 0.117
Tl: 0.313 0.250 0.608
Cl: 0.032 0.750 0.308
Cl: 0.200 0.750 0.984
Cl: 0.362 0.250 0.303

#B
The following is a GGA-PBE calculation of a relaxed structure of NbTlCl3, from the Alexandria database.

Lattice parameters (Å, degrees): 5.164 5.164 5.164 90.00 90.00 90.00
Space group Pm-3m (No. 221)
Inequivalent atoms, fractional coordinates:
Nb: 0.000 0.000 0.000
Tl: 0.500 0.500 0.500
Cl: 0.000 0.000 0.500

In terms of stability, #A leads; the second structure lies 271 meV/atom higher.

#A
The following is a GGA-PBE calculation of a relaxed structure of Nb2TlCl, from the Alexandria database.

Lattice parameters (Å, degrees): 6.719 6.719 6.719 90.00 90.00 90.00
Space group Fm-3m (No. 225)
Inequivalent atoms, fractional coordinates:
Nb: 0.250 0.250 0.250
Tl: 0.000 0.000 0.000
Cl: 0.000 0.000 0.500

#B
The following is a GGA-PBE calculation of a relaxed structure of Nb2TlCl, from the Alexandria database.

Lattice parameters (Å, degrees): 4.061 4.061 20.927 90.00 90.00 90.00
Space group I-42d (No. 122)
Inequivalent atoms, fractional coordinates:
Nb: 0.240 0.250 0.125
Tl: 0.000 0.000 0.000
Cl: 0.000 0.000 0.500

In terms of stability, #A leads; the second structure lies 43 meV/atom higher.